Entry 1:
# TbH7C4O11, optimized geometry, DFT PBE
# Calculated density (g/cm³): 2.899
# Electronic total energy (eV per formula unit): -151.21
# Volume (A^3/atom): 9.71
data_TbH7C4O11
_space_group_name_H-M_alt 'P 42/n'
_space_group_IT_number 86
_cell_length_a 8.6066
_cell_length_b 8.6066
_cell_length_c 12.0647
_cell_angle_alpha 90.00
_cell_angle_beta 90.00
_cell_angle_gamma 90.00
loop_
_space_group_symop_operation_xyz
'x,y,z'
'-x,-y,-z'
'-y,x+1/2,z+1/2'
'y,-x+1/2,-z+1/2'
'-x+1/2,-y+1/2,z'
'x+1/2,y+1/2,-z'
'y+1/2,-x,z+1/2'
'-y+1/2,x,-z+1/2'
loop_
_atom_site_label
_atom_site_fract_x
_atom_site_fract_y
_atom_site_fract_z
Tb1 0.2500 0.7500 0.1972
H1 0.0551 0.2452 0.0941
H2 0.0782 0.1684 0.9716
H3 0.1579 0.7402 0.4554
H4 0.2500 0.2500 0.0426
C1 0.0197 0.4674 0.1998
C2 0.0281 0.4461 0.6945
O1 0.0045 0.8599 0.1403
O2 0.0305 0.8861 0.6348
O3 0.0392 0.6672 0.8125
O4 0.0468 0.6744 0.3309
O5 0.1284 0.1815 0.0472
O6 0.2500 0.7500 0.0032

---

Entry 2:
# TbHC3O6, optimized geometry, DFT PBE
# Calculated density (g/cm³): 4.053
# Electronic total energy (eV per formula unit): -83.77
# Volume (A^3/atom): 10.87
data_TbHC3O6
_space_group_name_H-M_alt 'P n m a'
_space_group_IT_number 62
_cell_length_a 6.9367
_cell_length_b 10.5345
_cell_length_c 6.5475
_cell_angle_alpha 90.00
_cell_angle_beta 90.00
_cell_angle_gamma 90.00
loop_
_space_group_symop_operation_xyz
'x,y,z'
'-x,-y,-z'
'-x+1/2,-y,z+1/2'
'x+1/2,y,-z+1/2'
'x+1/2,-y+1/2,-z+1/2'
'-x+1/2,y+1/2,z+1/2'
'-x,y+1/2,-z'
'x,-y+1/2,z'
loop_
_atom_site_label
_atom_site_fract_x
_atom_site_fract_y
_atom_site_fract_z
Tb1 0.2002 0.2500 0.1337
H1 0.2153 0.7500 0.1233
C1 0.0964 0.5201 0.9510
C2 0.1271 0.2500 0.6314
O1 0.0338 0.2500 0.4627
O2 0.0499 0.2500 0.8050
O3 0.0898 0.6235 0.8499
O4 0.2422 0.0479 0.9766

---

Entry 3:
# TbHCO4, optimized geometry, DFT PBE
# Calculated density (g/cm³): 5.630
# Electronic total energy (eV per formula unit): -52.15
# Volume (A^3/atom): 9.94
data_TbHCO4
_space_group_name_H-M_alt 'P 21 21 21'
_space_group_IT_number 19
_cell_length_a 4.8198
_cell_length_b 6.9522
_cell_length_c 8.3071
_cell_angle_alpha 90.00
_cell_angle_beta 90.00
_cell_angle_gamma 90.00
loop_
_space_group_symop_operation_xyz
'x,y,z'
'-x+1/2,-y,z+1/2'
'x+1/2,-y+1/2,-z'
'-x,y+1/2,-z+1/2'
loop_
_atom_site_label
_atom_site_fract_x
_atom_site_fract_y
_atom_site_fract_z
Tb1 0.0073 0.1126 0.1656
H1 0.1442 0.2523 0.4717
C1 0.0029 0.0496 0.8252
O1 0.0004 0.2919 0.3943
O2 0.0108 0.4476 0.8032
O3 0.2191 0.6014 0.5998
O4 0.2435 0.0908 0.8855